A relaxed structure of ZnPt3Rh, computed with PBE-GGA.

- density (kg/m³) = 16691
- calculated formation energy (meV per atom) = -237
- N(E_F) (states/eV per atom) = 0.97
- total magnetization (μB per cell) = 0.0
- ΔE to the lowest computed polymorph (eV/atom) = 0.000
- E (eV/atom) = -5.586

Cell lengths 3.8891, 19.7930, 3.8957 Å; angles 90.00, 90.00, 90.00 degrees
Closest atoms and distances in Å follow each position.
Space group Cmcm (No. 63)
Symmetry-distinct sites (fractional):
Zn 0.0000 0.1498 0.2500 (multiplicity 4)  8 Pt 2.72-2.80, 4 Rh 2.75
Pt 0.0000 0.0542 0.7500 (multiplicity 4)  2 Zn 2.72, 2 Rh 2.74, 8 Pt 2.75-2.90
Pt 0.0000 0.2483 0.7500 (multiplicity 4)  4 Rh 2.73-2.78, 4 Pt 2.75, 4 Zn 2.76-2.80
Pt 0.0000 0.4488 0.7500 (multiplicity 4)  8 Pt 2.75-2.85, 2 Zn 2.75, 2 Rh 2.78
Rh 0.0000 0.3486 0.2500 (multiplicity 4)  8 Pt 2.73-2.78, 4 Zn 2.75